Tc2GeO (GGA-PBE, optimized geometry); raw formation energy = 165 meV per atom; energy above the most stable polymorph in this dataset = 0 meV/atom
1.0
5.353 0.000 0.000
0.000 5.353 0.000
2.676 2.676 4.486
Tc O Ge
4 2 2
Direct
0.205 0.625 0.250
0.545 0.125 0.250
0.375 0.455 0.750
0.875 0.795 0.750
0.500 0.500 0.000
0.250 0.750 0.500
0.750 0.250 0.500
0.000 0.000 0.000

***

HoBiSbO6 (GGA-PBE, optimized geometry); raw formation energy = -1811 meV per atom
1.0
5.614 0.000 0.000
-2.807 4.862 0.000
0.000 0.000 9.356
O Ho Sb Bi
12 2 2 2
Direct
0.636 0.667 0.633
0.969 0.333 0.133
0.364 0.031 0.133
0.364 0.333 0.367
0.667 0.031 0.367
0.031 0.667 0.867
0.667 0.636 0.133
0.333 0.364 0.867
0.333 0.969 0.633
0.636 0.969 0.867
0.031 0.364 0.633
0.969 0.636 0.367
0.333 0.667 0.250
0.667 0.333 0.750
0.667 0.333 0.250
0.333 0.667 0.750
0.000 0.000 0.000
0.000 0.000 0.500

***

Ac3Cu2Rh4 (GGA-PBE, optimized geometry); energy above the most stable polymorph in this dataset = 15 meV/atom; ΔE_f = -0.458 eV per atom
1.0
0.631 4.285 0.834
-2.716 -1.238 -3.247
-18.937 -0.314 15.958
Ac Rh Cu
6 8 4
Direct
0.333 0.667 0.416
0.333 0.667 0.254
0.333 0.667 0.749
0.333 0.667 0.585
0.333 0.667 0.080
0.333 0.667 0.917
0.667 0.333 0.499
0.667 0.333 0.834
0.667 0.333 0.667
0.000 0.000 0.667
0.667 0.333 0.331
0.000 0.000 0.001
0.667 0.333 0.002
0.000 0.000 0.332
0.000 0.000 0.833
0.667 0.333 0.167
0.000 0.000 0.167
0.000 0.000 0.500

***

Mass density, record by record: 7.4, 7.7, 9.7 Mg/m³